[1]
Compound: BaHgTe2
Source: the Alexandria database
Functional: SCAN
Structure: PBEsol geometry

Output
Spin magnetization, μB/cell: 0.000
E_tot, eV for the cell shown: -186.31

a = 4.6703 Å, b = 4.8683 Å, c = 6.8409 Å
α = 90.00°, β = 107.23°, γ = 90.00°
With the nearest neighbours (Å) after each atom.
Fractional coordinates of all 4 atoms:
Ba (0.0000, 0.0000, 0.0000)  6 Te 3.43-3.57, 2 Hg 3.79
Hg (0.9407, 0.5000, 0.5652)  3 Te 2.78
Te (0.4540, 0.5000, 0.9005)  1 Hg 2.78
Te (0.6895, 0.0000, 0.4042)  2 Hg 2.78

[2]
Compound: BeCo2Sb
Source: the Alexandria database
Functional: SCAN
Structure: PBEsol geometry

Output
Spin magnetization, μB/cell: 0.000
E_tot, eV for the cell shown: -75.97

a = 4.2069 Å, b = 4.2069 Å, c = 4.2069 Å
α = 127.63°, β = 124.54°, γ = 79.77°
With the nearest neighbours (Å) after each atom.
Fractional coordinates of all 4 atoms:
Be (0.0000, 0.0000, 0.0000)  8 Co 2.39-2.60
Co (0.2339, 0.7339, 0.5000)  4 Be 2.39-2.60, 4 Sb 2.47-2.53
Co (0.7661, 0.2661, 0.5000)  4 Be 2.39-2.60, 4 Sb 2.47-2.53
Sb (0.5000, 0.5000, 0.0000)  8 Co 2.47-2.53, 4 Be 2.70

[3]
Compound: Ba3Cu
Source: the Alexandria database
Functional: SCAN
Structure: PBEsol geometry

Output
Spin magnetization, μB/cell: 0.137
E_tot, eV for the cell shown: -133.54
Energy of formation from the pure elements, eV per atom: 0.0779

a = 11.2341 Å, b = 11.2341 Å, c = 11.2341 Å
α = 23.26°, β = 23.26°, γ = 23.26°
With the nearest neighbours (Å) after each atom.
Fractional coordinates of all 4 atoms:
Ba (0.0000, 0.0000, 0.0000)  12 Ba 4.53-4.54
Ba (0.2203, 0.2203, 0.2203)  3 Cu 3.15
Ba (0.7797, 0.7797, 0.7797)  3 Cu 3.15
Cu (0.5000, 0.5000, 0.5000)  6 Ba 3.15

[4]
Compound: Mg2CuRh
Source: the Alexandria database
Functional: SCAN
Structure: PBEsol geometry

Output
Spin magnetization, μB/cell: 0.000
E_tot, eV for the cell shown: -60.47
Energy of formation from the pure elements, eV per atom: -0.3870

a = 4.3223 Å, b = 4.3223 Å, c = 3.1469 Å
α = 90.00°, β = 90.00°, γ = 90.00°
With the nearest neighbours (Å) after each atom.
Fractional coordinates of all 4 atoms:
Mg (0.0000, 0.5000, 0.0000)  4 Rh 2.67, 4 Cu 2.67
Mg (0.5000, 0.0000, 0.0000)  4 Rh 2.67, 4 Cu 2.67
Cu (0.0000, 0.0000, 0.5000)  8 Mg 2.67
Rh (0.5000, 0.5000, 0.5000)  8 Mg 2.67